# Ac2PN

Crystalline Ac2PN at its relaxed geometry (GGA-PBE, Alexandria via LeMat-Bulk).

The value obtained for the energy above the lowest structure with this stoichiometry is 56.78 kJ/mol of atoms. The calculation puts the total energy at -6.063 eV per atom. The value obtained for the volume is 91.4 Å³ per cell. The uncorrected formation energy comes out at -575.1 meV/atom.

It has space group P4/mmm (No. 123), with a = 5.054 Å, b = 5.054 Å, c = 3.579 Å, α = 90.00°, β = 90.00° and γ = 90.00°. Symmetry generates all atoms from Ac at (0.000, 0.500, 0.000), P at (0.000, 0.000, 0.500) and N at (0.500, 0.500, 0.500).